1.
Here is a relaxed structure of Sr3BeTe from the Alexandria database. Energies are from PBE.

Geometry as POSCAR:
```
Sr3BeTe
1.0
5.792 0.000 0.000
0.000 5.792 0.000
0.000 0.000 5.792
Sr Be Te
3 1 1
Direct
0.000 0.000 0.500
0.000 0.500 0.000
0.500 0.000 0.000
0.000 0.000 0.000
0.500 0.500 0.500
```

Output
**Distance to the lowest polymorph of the same formula**: 0.0 meV per atom
**ΔE_f (raw)**: -0.18 eV per atom
**Symmetry**: Pm-3m (221)
**D(E_F)**: 4.008 states/eV per cell
**Total DFT energy (no corrections)**: -2.5625 eV per atom

=====

2.
Here is a relaxed structure of BeMo2Cl from the Alexandria database. Energies are from PBE.

Geometry as POSCAR:
```
BeMo2Cl
1.0
3.149 0.000 0.000
0.000 4.861 0.000
0.000 0.000 8.895
Be Mo Cl
2 4 2
Direct
0.000 0.000 0.000
0.500 0.500 0.000
0.000 0.000 0.444
0.000 0.500 0.223
0.500 0.000 0.223
0.500 0.500 0.444
0.000 0.500 0.849
0.500 0.000 0.849
```

Output
**Distance to the lowest polymorph of the same formula**: 0.0 meV per atom
**ΔE_f (raw)**: 0.22 eV per atom
**Symmetry**: Cmm2 (35)
**D(E_F)**: 4.902 states/eV per cell
**Total DFT energy (no corrections)**: -6.5892 eV per atom

=====

3.
Here is a relaxed structure of Tb2EuGd from the Alexandria database. Energies are from PBE.

Geometry as POSCAR:
```
Tb2EuGd
1.0
3.640 0.000 0.000
0.000 3.640 0.000
0.000 0.000 10.241
Tb Eu Gd
2 1 1
Direct
0.000 0.000 0.236
0.000 0.000 0.764
0.500 0.500 0.500
0.500 0.500 0.000
```

Output
**Distance to the lowest polymorph of the same formula**: 0.0 meV per atom
**Symmetry**: P4/mmm (123)
**D(E_F)**: 6.212 states/eV per cell
**Total DFT energy (no corrections)**: -8.3490 eV per atom
**Calculated formation energy**: 55 meV/atom

=====

4.
Here is a relaxed structure of KLiPa2Se5 from the Alexandria database. Energies are from PBE.

Geometry as POSCAR:
```
KLiPa2Se5
1.0
-3.965 3.965 7.432
3.965 -3.965 7.432
3.965 3.965 -7.432
K Li Pa Se
2 2 4 10
Direct
0.250 0.250 0.000
0.750 0.750 0.000
0.250 0.750 0.500
0.750 0.250 0.500
0.158 0.658 0.816
0.342 0.158 0.500
0.658 0.842 0.500
0.842 0.342 0.184
0.000 0.000 0.000
0.024 0.229 0.500
0.229 0.729 0.206
0.271 0.476 0.500
0.476 0.976 0.206
0.500 0.500 0.000
0.524 0.024 0.794
0.729 0.524 0.500
0.771 0.271 0.794
0.976 0.771 0.500
```

Output
**ΔE_f (raw)**: -1.39 eV per atom
**Symmetry**: I4/mcm (140)
**D(E_F)**: 9.319 states/eV per cell
**Total DFT energy (no corrections)**: -5.7717 eV per atom